# Li2GaFeH6, optimized geometry, DFT GGA-PBE
data_Li2GaFeH6
_chemical_formula_sum 'Li2 Ga1 Fe1 H6'
_cell_length_a 4.2675
_cell_length_b 4.8132
_cell_length_c 4.9584
_cell_angle_alpha 64.37
_cell_angle_beta 65.17
_cell_angle_gamma 67.80
_space_group_name_H-M_alt 'P 1'
_space_group_IT_number 1
loop_
_space_group_symop_operation_xyz
'x,y,z'
loop_
_atom_site_label
_atom_site_fract_x
_atom_site_fract_y
_atom_site_fract_z
Li1 0.0000 0.0000 0.0000
Li2 0.3173 0.5983 0.6267
Ga1 0.1793 0.3234 0.2614
Fe1 0.6698 0.5876 0.0557
H1 0.3554 0.8442 0.1933
H2 0.4744 0.7675 0.8055
H3 0.5986 0.2672 0.3313
H4 0.7611 0.6640 0.2847
H5 0.8617 0.8564 0.7906
H6 0.8966 0.4237 0.7921
# - Calculated total energy: -3.661 eV/atom
# - D(E_F): 0.2254 states/eV/atom